# KBa3Zn

A PBEsol-optimized structure of KBa3Zn (meta-GGA SCAN, the Alexandria database). Values from VASP.

Cell and atoms, written as Quantum ESPRESSO input:
```
&SYSTEM
  ibrav = 0, nat = 5, ntyp = 3
/
ATOMIC_SPECIES
K 39.10 K.upf
Zn 65.41 Zn.upf
Ba 137.33 Ba.upf
CELL_PARAMETERS angstrom
6.550 0.000 0.000
0.000 6.550 0.000
0.000 0.000 6.550
ATOMIC_POSITIONS angstrom
K 3.275 3.275 3.275
Zn 0.000 0.000 0.000
Ba 0.000 3.275 0.000
Ba 0.000 0.000 3.275
Ba 3.275 0.000 0.000
```

Output
E_form = 0.00 eV/atom
Space group = Pm-3m

# ScCdC2O

A PBEsol-optimized structure of ScCdC2O (meta-GGA SCAN, the Alexandria database). Values from VASP.

Cell and atoms, written as Quantum ESPRESSO input:
```
&SYSTEM
  ibrav = 0, nat = 5, ntyp = 4
/
ATOMIC_SPECIES
Sc 44.96 Sc.upf
C 12.01 C.upf
O 16.00 O.upf
Cd 112.41 Cd.upf
CELL_PARAMETERS angstrom
3.836 0.000 0.000
0.000 3.836 0.000
0.000 0.000 5.896
ATOMIC_POSITIONS angstrom
Sc 0.000 0.000 2.948
C 0.000 1.918 0.000
C 1.918 0.000 0.000
O 1.918 1.918 2.948
Cd 0.000 0.000 0.000
```

Output
Raw formation energy = 1.98 eV per atom
Space group = P4/mmm

# KCdW2

A PBEsol-optimized structure of KCdW2 (meta-GGA SCAN, the Alexandria database). Values from VASP.

Cell and atoms, written as Quantum ESPRESSO input:
```
&SYSTEM
  ibrav = 0, nat = 4, ntyp = 3
/
ATOMIC_SPECIES
Cd 112.41 Cd.upf
K 39.10 K.upf
W 183.84 W.upf
CELL_PARAMETERS angstrom
-1.485 2.250 0.175
-1.932 -1.376 1.294
4.648 2.333 9.421
ATOMIC_POSITIONS angstrom
Cd -1.708 0.437 0.735
K 0.616 1.603 5.445
W 3.646 1.830 7.390
W 1.002 0.503 2.031
```

Output
E_form = 1.24 eV/atom
Space group = P4/mmm

# CdAgAu2N

A PBEsol-optimized structure of CdAgAu2N (meta-GGA SCAN, the Alexandria database). Values from VASP.

Cell and atoms, written as Quantum ESPRESSO input:
```
&SYSTEM
  ibrav = 0, nat = 5, ntyp = 4
/
ATOMIC_SPECIES
N 14.01 N.upf
Au 196.97 Au.upf
Ag 107.87 Ag.upf
Cd 112.41 Cd.upf
CELL_PARAMETERS angstrom
4.352 0.000 0.000
0.000 4.385 0.000
0.000 0.000 4.385
ATOMIC_POSITIONS angstrom
N 0.000 0.000 0.000
Au 0.000 0.000 2.192
Au 0.000 2.192 0.000
Ag 2.176 0.000 0.000
Cd 2.176 2.192 2.192
```

Output
Raw formation energy = 0.61 eV per atom
Space group = P4/mmm

Copy entry 4 word for word.
# CdAgAu2N

A PBEsol-optimized structure of CdAgAu2N (meta-GGA SCAN, the Alexandria database). Values from VASP.

Cell and atoms, written as Quantum ESPRESSO input:
```
&SYSTEM
  ibrav = 0, nat = 5, ntyp = 4
/
ATOMIC_SPECIES
N 14.01 N.upf
Au 196.97 Au.upf
Ag 107.87 Ag.upf
Cd 112.41 Cd.upf
CELL_PARAMETERS angstrom
4.352 0.000 0.000
0.000 4.385 0.000
0.000 0.000 4.385
ATOMIC_POSITIONS angstrom
N 0.000 0.000 0.000
Au 0.000 0.000 2.192
Au 0.000 2.192 0.000
Ag 2.176 0.000 0.000
Cd 2.176 2.192 2.192
```

Output
Raw formation energy = 0.61 eV per atom
Space group = P4/mmm

What did the first record say?
# KBa3Zn

A PBEsol-optimized structure of KBa3Zn (meta-GGA SCAN, the Alexandria database). Values from VASP.

Cell and atoms, written as Quantum ESPRESSO input:
```
&SYSTEM
  ibrav = 0, nat = 5, ntyp = 3
/
ATOMIC_SPECIES
K 39.10 K.upf
Zn 65.41 Zn.upf
Ba 137.33 Ba.upf
CELL_PARAMETERS angstrom
6.550 0.000 0.000
0.000 6.550 0.000
0.000 0.000 6.550
ATOMIC_POSITIONS angstrom
K 3.275 3.275 3.275
Zn 0.000 0.000 0.000
Ba 0.000 3.275 0.000
Ba 0.000 0.000 3.275
Ba 3.275 0.000 0.000
```

Output
E_form = 0.00 eV/atom
Space group = Pm-3m